Record 1
{"formula": "ZrPt3", "functional": "GGA-PBEsol", "state": "optimized geometry", "lattice_angstrom": [[4.6133, 0.0000, 0.0000], [0.0000, 5.6515, 0.0000], [0.0000, -2.8257, 4.8943]], "species": ["Pt", "Pt", "Pt", "Pt", "Pt", "Pt", "Zr", "Zr"], "frac_coords": [[0.7500, 0.1640, 0.3280], [0.2500, 0.3280, 0.1640], [0.7500, 0.1640, 0.8360], [0.7500, 0.6720, 0.8360], [0.2500, 0.8360, 0.6720], [0.2500, 0.8360, 0.1640], [0.7500, 0.6667, 0.3333], [0.2500, 0.3333, 0.6667]], "n_ef_per_ev_fu": 0.62, "ef_ev_per_atom": -1.05, "magnetic_moment_mub_per_fu": 0.00}

=====

Record 2
{"formula": "Zn2FeBr", "functional": "GGA-PBEsol", "state": "optimized geometry", "lattice_angstrom": [[4.5444, 0.0000, 0.0000], [2.2722, 3.9355, 0.0000], [2.2722, 1.3118, 3.7104]], "species": ["Zn", "Zn", "Fe", "Br"], "frac_coords": [[0.2500, 0.2500, 0.2500], [0.7500, 0.7500, 0.7500], [0.5000, 0.5000, 0.5000], [0.0000, 0.0000, 0.0000]], "e_tot_ev_per_fu": -10.7, "n_ef_per_ev_fu": 2.85, "magnetic_moment_mub_per_fu": 2.08}

=====

Record 3
{"formula": "Dy2Al3Cu", "functional": "GGA-PBEsol", "state": "optimized geometry", "lattice_angstrom": [[5.3436, -0.0132, -0.0094], [2.5421, 4.7002, -0.0094], [2.5421, 1.5110, 4.4507]], "species": ["Dy", "Dy", "Al", "Al", "Al", "Cu"], "frac_coords": [[0.3766, 0.3766, 0.3766], [0.6234, 0.6234, 0.6234], [0.0000, 0.5000, 0.0000], [0.0000, 0.0000, 0.5000], [0.5000, 0.0000, 0.0000], [0.0000, 0.0000, 0.0000]], "n_ef_per_ev_fu": 3.76, "ef_ev_per_atom": -0.47, "magnetic_moment_mub_per_fu": 0.00}